1.
! CrCoRh SCAN single point on PBEsol structure; values from VASP
&SYSTEM
  ibrav = 0, nat = 3, ntyp = 3
/
ATOMIC_SPECIES
Cr 52.00 Cr.upf
Rh 102.91 Rh.upf
Co 58.93 Co.upf
CELL_PARAMETERS angstrom
3.875 0.000 0.000
1.938 3.356 0.000
1.938 1.119 3.164
ATOMIC_POSITIONS angstrom
Cr 0.000 0.000 0.000
Rh 3.875 2.237 1.582
Co 1.938 1.119 0.791
! distance to the lowest polymorph of the same formula	0.348	eV/atom
! uncorrected energy	-22.747	eV/atom
! formation energy	407	meV/atom
! magnetization	0.8	Bohr magnetons per cell

=====

2.
! Ag2RuPtAu SCAN single point on PBEsol structure; values from VASP
&SYSTEM
  ibrav = 0, nat = 5, ntyp = 4
/
ATOMIC_SPECIES
Ag 107.87 Ag.upf
Pt 195.08 Pt.upf
Ru 101.07 Ru.upf
Au 196.97 Au.upf
CELL_PARAMETERS angstrom
-0.747 1.767 -4.407
1.675 -4.131 -1.941
-4.501 -1.838 0.026
ATOMIC_POSITIONS angstrom
Ag -2.251 -0.919 0.013
Pt -1.787 -2.101 -3.161
Ag 0.838 -2.065 -0.970
Ru -0.374 0.884 -2.203
Au 0.000 0.000 0.000
! uncorrected energy	-45.803	eV/atom
! formation energy	1579	meV/atom
! magnetization	2.6	Bohr magnetons per cell

=====

3.
! Mn2CoAg SCAN single point on PBEsol structure; values from VASP
&SYSTEM
  ibrav = 0, nat = 4, ntyp = 3
/
ATOMIC_SPECIES
Co 58.93 Co.upf
Ag 107.87 Ag.upf
Mn 54.94 Mn.upf
CELL_PARAMETERS angstrom
-1.045 2.073 1.102
-1.427 -1.519 1.503
5.343 -0.002 5.070
ATOMIC_POSITIONS angstrom
Co 2.957 0.276 5.281
Ag 2.708 -0.001 2.569
Mn 5.277 -0.002 5.007
Mn -0.056 0.277 2.422
! distance to the lowest polymorph of the same formula	0.000	eV/atom
! uncorrected energy	-21.039	eV/atom
! formation energy	256	meV/atom
! magnetization	2.5	Bohr magnetons per cell

=====

4.
! ScTi2AlHg SCAN single point on PBEsol structure; values from VASP
&SYSTEM
  ibrav = 0, nat = 5, ntyp = 4
/
ATOMIC_SPECIES
Al 26.98 Al.upf
Ti 47.87 Ti.upf
Sc 44.96 Sc.upf
Hg 200.59 Hg.upf
CELL_PARAMETERS angstrom
-2.047 3.551 -2.296
-2.918 0.660 3.623
3.199 3.140 2.004
ATOMIC_POSITIONS angstrom
Al 0.000 0.000 0.000
Ti -1.459 0.330 1.811
Ti -1.024 1.776 -1.148
Sc 1.599 1.570 1.002
Hg -0.883 3.676 1.665
! uncorrected energy	-23.931	eV/atom
! formation energy	511	meV/atom
! magnetization	0.0	Bohr magnetons per cell

=====

5.
! CuC4 SCAN single point on PBEsol structure; values from VASP
&SYSTEM
  ibrav = 0, nat = 5, ntyp = 2
/
ATOMIC_SPECIES
C 12.01 C.upf
Cu 63.55 Cu.upf
CELL_PARAMETERS angstrom
-0.328 -0.779 4.179
0.084 -3.645 -2.210
3.618 2.135 -0.725
ATOMIC_POSITIONS angstrom
C 2.321 -0.947 -1.839
Cu 0.000 0.000 0.000
C 2.063 0.850 2.165
C 1.381 -0.564 -1.095
C 1.228 0.506 1.289
! uncorrected energy	-9.316	eV/atom
! formation energy	1804	meV/atom
! magnetization	0.0	Bohr magnetons per cell

=====

6.
! Zr4Ag3 SCAN single point on PBEsol structure; values from VASP
&SYSTEM
  ibrav = 0, nat = 7, ntyp = 2
/
ATOMIC_SPECIES
Zr 91.22 Zr.upf
Ag 107.87 Ag.upf
CELL_PARAMETERS angstrom
3.352 0.000 0.000
0.000 3.352 0.000
-1.676 -1.676 12.356
ATOMIC_POSITIONS angstrom
Zr 1.676 1.676 1.809
Zr 0.000 0.000 3.770
Ag 1.676 1.676 5.429
Ag 0.000 0.000 0.000
Zr 1.676 1.676 8.586
Zr 0.000 0.000 10.546
Ag 0.000 0.000 6.926
! uncorrected energy	-31.119	eV/atom
! formation energy	-134	meV/atom
! magnetization	0.0	Bohr magnetons per cell

=====

7.
! LaReHg2 SCAN single point on PBEsol structure; values from VASP
&SYSTEM
  ibrav = 0, nat = 4, ntyp = 3
/
ATOMIC_SPECIES
La 138.91 La.upf
Hg 200.59 Hg.upf
Re 186.21 Re.upf
CELL_PARAMETERS angstrom
3.410 0.000 0.000
0.000 5.136 0.097
0.000 -1.854 4.791
ATOMIC_POSITIONS angstrom
La 1.705 0.000 0.000
Hg 0.000 2.568 0.049
Hg 0.000 -0.927 2.395
Re 1.705 1.641 2.444
! distance to the lowest polymorph of the same formula	0.212	eV/atom
! uncorrected energy	-62.076	eV/atom
! formation energy	558	meV/atom
! magnetization	0.0	Bohr magnetons per cell

=====

8.
! BaLi2Ag SCAN single point on PBEsol structure; values from VASP
&SYSTEM
  ibrav = 0, nat = 4, ntyp = 3
/
ATOMIC_SPECIES
Li 6.94 Li.upf
Ba 137.33 Ba.upf
Ag 107.87 Ag.upf
CELL_PARAMETERS angstrom
3.739 0.000 0.000
0.000 5.493 0.000
-1.870 -2.746 5.248
ATOMIC_POSITIONS angstrom
Li 1.870 2.746 3.157
Ba 0.000 2.746 0.000
Li 0.000 0.000 2.091
Ag 1.870 0.000 0.000
! distance to the lowest polymorph of the same formula	0.097	eV/atom
! uncorrected energy	-18.981	eV/atom
! formation energy	-57	meV/atom
! magnetization	0.0	Bohr magnetons per cell